# 1
This record from Alexandria via LeMat-Bulk describes a relaxed structure of AsPb2Se. The functional is PBE-GGA.

a = 4.322 Å, b = 4.322 Å, c = 7.441 Å
α = 73.44°, β = 73.44°, γ = 59.70°
Sites, in units of the cell vectors:
As: 0.750 0.750 0.750
Pb: 0.005 0.005 0.987
Pb: 0.495 0.495 0.513
Se: 0.250 0.250 0.250

Calculated values
energy above the most stable polymorph in this dataset	15.7	meV/atom
electronic total energy	-4.079	eV per atom
energy relative to the elements, uncorrected	-0.8	eV per formula unit
M_tot	0.00	μB/cell

=====

# 2
This record from Alexandria via LeMat-Bulk describes a relaxed structure of MnGa2Re. The functional is PBE-GGA.

a = 3.375 Å, b = 4.107 Å, c = 4.107 Å
α = 90.00°, β = 90.00°, γ = 90.00°
Sites, in units of the cell vectors:
Re: 0.500 0.000 0.000
Ga: 0.000 0.500 0.000
Ga: 0.000 0.000 0.500
Mn: 0.500 0.500 0.500

Calculated values
energy above the most stable polymorph in this dataset	0.0	meV/atom
E_form	0.08	eV per atom
electronic total energy	-6.835	eV per atom
M_tot	3.16	μB/cell

=====

# 3
This record from Alexandria via LeMat-Bulk describes a relaxed structure of LiZn2P. The functional is PBE-GGA.

a = 4.836 Å, b = 4.836 Å, c = 4.836 Å
α = 133.52°, β = 133.27°, γ = 68.03°
Sites, in units of the cell vectors:
Zn: 0.499 0.499 0.000
Zn: 0.001 0.001 0.000
P: 0.250 0.750 0.500
Li: 0.750 0.250 0.500

Calculated values
E_form	-0.12	eV per atom
electronic total energy	-2.589	eV per atom
M_tot	0.00	μB/cell

=====

# 4
This record from Alexandria via LeMat-Bulk describes a relaxed structure of La4F. The functional is PBE-GGA.

a = 5.297 Å, b = 5.297 Å, c = 5.297 Å
α = 90.00°, β = 90.00°, γ = 90.00°
Sites, in units of the cell vectors:
La: 0.000 0.000 0.000
La: 0.500 0.000 0.500
La: 0.500 0.500 0.000
La: 0.000 0.500 0.500
F: 0.500 0.500 0.500

Calculated values
electronic total energy	-5.346	eV per atom
energy relative to the elements, uncorrected	-5.1	eV per formula unit
M_tot	0.00	μB/cell